The following is a PBE calculation of an optimized crystal structure of Tb2ErAl3CuSn2, from OQMD.

a = 4.284 Å, b = 7.283 Å, c = 7.283 Å
α = 119.76°, β = 90.00°, γ = 90.00°
Atoms (fractional coordinates):
Tb 0.000 0.194 0.806
Tb 0.000 0.806 0.194
Er 0.000 0.581 0.581
Al 0.500 0.195 0.418
Al 0.500 0.418 0.195
Al 0.500 0.973 0.973
Cu 0.000 0.198 0.198
Sn 0.500 0.529 0.859
Sn 0.500 0.859 0.529

M_tot: 0.0 μB/f.u.
Space-group type: Amm2 (38)
Total DFT energy (no corrections): -4.637 eV per atom


The following is a PBE calculation of an optimized crystal structure of Nb2NiAs, from OQMD.

a = 4.469 Å, b = 4.469 Å, c = 4.469 Å
α = 60.00°, β = 60.00°, γ = 60.00°
Atoms (fractional coordinates):
Nb 0.000 0.000 0.000
Nb 0.250 0.250 0.250
Ni 0.750 0.750 0.750
As 0.500 0.500 0.500

M_tot: 0.0 μB/f.u.
Space-group type: F-43m (216)
Total DFT energy (no corrections): -7.442 eV per atom


The following is a PBE calculation of an optimized crystal structure of LiTmCdSe3, from OQMD.

a = 6.901 Å, b = 6.901 Å, c = 11.063 Å
α = 90.00°, β = 90.00°, γ = 145.85°
Atoms (fractional coordinates):
Li 0.234 0.766 0.750
Li 0.766 0.234 0.250
Tm 0.000 0.000 0.000
Tm 0.000 0.000 0.500
Cd 0.476 0.524 0.250
Cd 0.524 0.476 0.750
Se 0.105 0.895 0.250
Se 0.358 0.642 0.062
Se 0.358 0.642 0.438
Se 0.642 0.358 0.562
Se 0.642 0.358 0.938
Se 0.895 0.105 0.750

M_tot: 0.0 μB/f.u.
Space-group type: Cmcm (63)
Total DFT energy (no corrections): -4.119 eV per atom
Offset from the most stable computed form: 82.4 meV per atom


The following is a PBE calculation of an optimized crystal structure of Sm2OF2, from OQMD.

a = 7.439 Å, b = 7.439 Å, c = 7.439 Å
α = 122.43°, β = 122.43°, γ = 85.85°
Atoms (fractional coordinates):
Sm 0.000 0.000 0.000
Sm 0.000 0.000 0.500
Sm 0.000 0.500 0.000
Sm 0.500 0.000 0.500
O 0.125 0.875 0.250
O 0.875 0.125 0.750
F 0.128 0.378 0.750
F 0.378 0.128 0.250
F 0.622 0.872 0.750
F 0.872 0.622 0.250

M_tot: 1.0 μB/f.u.
Space-group type: I4_1/amd (141)
Total DFT energy (no corrections): -6.406 eV per atom
Offset from the most stable computed form: 425.4 meV per atom


The following is a PBE calculation of an optimized crystal structure of GdPtF3, from OQMD.

a = 7.231 Å, b = 7.231 Å, c = 4.695 Å
α = 90.00°, β = 90.00°, γ = 147.69°
Atoms (fractional coordinates):
Gd 0.165 0.835 0.750
Gd 0.835 0.165 0.250
Pt 0.474 0.526 0.750
Pt 0.526 0.474 0.250
F 0.121 0.879 0.250
F 0.304 0.696 0.008
F 0.304 0.696 0.492
F 0.696 0.304 0.508
F 0.696 0.304 0.992
F 0.879 0.121 0.750

M_tot: 0.7 μB/f.u.
Space-group type: Cmcm (63)
Total DFT energy (no corrections): -5.788 eV per atom


The following is a PBE calculation of an optimized crystal structure of Cd2AgAs, from OQMD.

a = 4.880 Å, b = 4.880 Å, c = 4.880 Å
α = 60.00°, β = 60.00°, γ = 60.00°
Atoms (fractional coordinates):
Cd 0.000 0.000 0.000
Cd 0.250 0.250 0.250
Ag 0.750 0.750 0.750
As 0.500 0.500 0.500

Space-group type: F-43m (216)
Total DFT energy (no corrections): -2.207 eV per atom